(1)
Below is crystalline BaNbGe2Au at its relaxed geometry, with properties calculated at the PBE-GGA level.

The space group is P4/mmm (No. 123) and the conventional cell measures 5.1745, 5.1745 and 5.3795 Å, with angles of 90.00, 90.00 and 90.00 degrees. The asymmetric unit holds Ba at (0.0000, 0.0000, 0.0000), Nb at (0.5000, 0.5000, 0.0000), Ge at (0.0000, 0.5000, 0.5000) and Au at (0.5000, 0.5000, 0.5000).

The calculation puts the calculated formation energy at 0.59 eV per atom. The value obtained for the total energy is -4.31 eV/atom. The density of states at the Fermi level comes out at 3.83 states/eV/cell. Its magnetization is 0.62 μB per atom. The value obtained for the volume is 144.0 Å³/cell.



(2)
Below is crystalline BaNdGe2Au2 at its relaxed geometry, with properties calculated at the PBE-GGA level.

The space group is P-3m1 (No. 164) and the conventional cell measures 4.5811, 4.5811 and 8.5082 Å, with angles of 90.00, 90.00 and 120.00 degrees. The asymmetric unit holds Ba at (0.0000, 0.0000, 0.0000), Nd at (0.0000, 0.0000, 0.5000), Ge at (0.3333, 0.6667, 0.7091) and Au at (0.3333, 0.6667, 0.2839).

The calculation puts the calculated formation energy at -0.74 eV per atom. The value obtained for the total energy is -4.49 eV/atom. The density of states at the Fermi level comes out at 4.00 states/eV/cell. Its magnetization is 0.00 μB per atom. The value obtained for the volume is 154.6 Å³/cell.